{"formula": "TbNdDyAg", "functional": "GGA-PBE", "state": "relaxed", "lattice": [[-5.2845, -1.0692, 0.7484], [-3.0556, -1.6793, -4.1800], [-1.7883, -5.1382, -0.1726]], "species": ["Nd", "Tb", "Ag", "Dy"], "fractional_positions": [[0.2500, 0.2500, 0.2500], [0.7500, 0.7500, 0.7500], [0.5000, 0.5000, 0.5000], [0.0000, 0.0000, 0.0000]], "de_polymorph_mev_per_atom": 200, "sg": "F-43m (216)", "density_g_cm3": 8.351}